## Hf2Mg2C (PBE-GGA)

Data for a geometry-optimized Hf2Mg2C structure.

## Properties
Total magnetic moment, μB per cell: 0.000
Offset from the most stable computed form, eV per atom: 0.767
ΔH_f (0 K), meV/atom: 1485.9

Cell lengths 3.729, 3.729, 15.866 Å; angles 90.00, 90.00, 90.00 degrees
Space group I4/mmm (No. 139)
One atom of each set of equivalent atoms:
Hf1 0.000 0.500 0.250 [4 per cell]
Mg1 0.000 0.000 0.084 [4 per cell]
C1 0.000 0.000 0.500 [2 per cell]


## Hf2MgC (PBE-GGA)

Data for a geometry-optimized Hf2MgC structure.

## Properties
Total magnetic moment, μB per cell: 0.000
ΔH_f (0 K), meV/atom: 212.6

Cell lengths 7.010, 7.010, 6.105 Å; angles 90.00, 90.00, 90.00 degrees
Space group I-42d (No. 122)
One atom of each set of equivalent atoms:
Hf1 0.155 0.250 0.125 [8 per cell]
Mg1 0.000 0.000 0.500 [4 per cell]
C1 0.000 0.000 0.000 [4 per cell]


## Hf2MgC (PBE-GGA)

Data for a geometry-optimized Hf2MgC structure.

## Properties
Total magnetic moment, μB per cell: 0.000
ΔH_f (0 K), meV/atom: -496.6

Cell lengths 3.2843, 3.2843, 23.3482 Å; angles 90.00, 90.00, 120.00 degrees
Space group R-3m (No. 166, hexagonal axes)
One atom of each set of equivalent atoms:
Hf1 0.0000 0.0000 0.2196 [6 per cell]
Mg1 0.0000 0.0000 0.0000 [3 per cell]
C1 0.0000 0.0000 0.5000 [3 per cell]


## Hf2Mg2C (PBE-GGA)

Data for a geometry-optimized Hf2Mg2C structure.

## Properties
Total magnetic moment, μB per cell: 0.000
Offset from the most stable computed form, eV per atom: 0.000
ΔH_f (0 K), meV/atom: 719.1

Cell lengths 5.892, 5.892, 5.386 Å; angles 90.00, 90.00, 90.00 degrees
Space group P4/mbm (No. 127)
One atom of each set of equivalent atoms:
Hf1 0.169 0.331 0.000 [4 per cell]
Mg1 0.165 0.665 0.500 [4 per cell]
C1 0.000 0.000 0.500 [2 per cell]


## HfMgC2 (PBE-GGA)

Data for a geometry-optimized HfMgC2 structure.

## Properties
Total magnetic moment, μB per cell: 0.001
ΔH_f (0 K), meV/atom: 549.3

Cell lengths 5.780, 5.780, 6.468 Å; angles 90.00, 90.00, 90.00 degrees
Space group I-42d (No. 122)
One atom of each set of equivalent atoms:
Hf1 0.000 0.000 0.000 [4 per cell]
Mg1 0.000 0.000 0.500 [4 per cell]
C1 0.247 0.250 0.125 [8 per cell]


## Hf3MgC (PBE-GGA)

Data for a geometry-optimized Hf3MgC structure.

## Properties
Total magnetic moment, μB per cell: 0.000
Offset from the most stable computed form, eV per atom: 0.000
ΔH_f (0 K), meV/atom: -324.4

Cell lengths 4.535, 4.535, 4.535 Å; angles 90.00, 90.00, 90.00 degrees
Space group Pm-3m (No. 221)
One atom of each set of equivalent atoms:
Hf1 0.000 0.000 0.500 [3 per cell]
Mg1 0.500 0.500 0.500 [1 per cell]
C1 0.000 0.000 0.000 [1 per cell]


## HfMgC (PBE-GGA)

Data for a geometry-optimized HfMgC structure.

## Properties
Total magnetic moment, μB per cell: 0.000
ΔH_f (0 K), meV/atom: -165.8

Cell lengths 5.804, 3.349, 10.557 Å; angles 90.00, 100.17, 90.00 degrees
Space group C2/m (No. 12)
One atom of each set of equivalent atoms:
Hf1 0.120 0.000 0.360 [4 per cell]
Mg1 0.121 0.500 0.869 [4 per cell]
C1 0.245 0.000 0.737 [4 per cell]


## Hf2MgC (PBE-GGA)

Data for a geometry-optimized Hf2MgC structure.

## Properties
Total magnetic moment, μB per cell: 0.000
ΔH_f (0 K), meV/atom: 1009.0

Cell lengths 6.439, 6.439, 6.439 Å; angles 90.00, 90.00, 90.00 degrees
Space group Fm-3m (No. 225)
One atom of each set of equivalent atoms:
Hf1 0.250 0.250 0.250 [8 per cell]
Mg1 0.000 0.000 0.000 [4 per cell]
C1 0.000 0.000 0.500 [4 per cell]


## HfMg6C (PBE-GGA)

Data for a geometry-optimized HfMg6C structure.

## Properties
Total magnetic moment, μB per cell: 0.000
Offset from the most stable computed form, eV per atom: 0.000
ΔH_f (0 K), meV/atom: 221.2

Cell lengths 4.477, 7.946, 10.044 Å; angles 90.00, 90.00, 90.00 degrees
Space group Amm2 (No. 38)
One atom of each set of equivalent atoms:
Hf1 0.000 0.000 0.000 [2 per cell]
Mg1 0.000 0.000 0.433 [2 per cell]
Mg2 0.000 0.194 0.724 [4 per cell]
Mg3 0.500 0.000 0.226 [2 per cell]
Mg4 0.500 0.232 0.476 [4 per cell]
C1 0.500 0.000 0.012 [2 per cell]


## Hf2MgC (PBE-GGA)

Data for a geometry-optimized Hf2MgC structure.

## Properties
Total magnetic moment, μB per cell: 0.000
ΔH_f (0 K), meV/atom: -474.9

Cell lengths 3.2876, 3.2876, 23.5638 Å; angles 90.00, 90.00, 120.00 degrees
Space group R3m (No. 160, hexagonal axes)
One atom of each set of equivalent atoms:
Hf1 0.0000 0.0000 0.0000 [3 per cell]
Hf2 0.0000 0.0000 0.2288 [3 per cell]
Mg1 0.0000 0.0000 0.7810 [3 per cell]
C1 0.0000 0.0000 0.6140 [3 per cell]


## HfMg6C (PBE-GGA)

Data for a geometry-optimized HfMg6C structure.

## Properties
Total magnetic moment, μB per cell: 0.000
Offset from the most stable computed form, eV per atom: 0.315
ΔH_f (0 K), meV/atom: 536.0

Cell lengths 4.719, 5.460, 12.056 Å; angles 90.00, 90.00, 90.00 degrees
Space group Amm2 (No. 38)
One atom of each set of equivalent atoms:
Hf1 0.000 0.000 0.000 [2 per cell]
Mg1 0.000 0.247 0.260 [4 per cell]
Mg2 0.500 0.000 0.154 [2 per cell]
Mg3 0.500 0.000 0.612 [2 per cell]
Mg4 0.500 0.248 0.393 [4 per cell]
C1 0.000 0.000 0.428 [2 per cell]


## HfMgMn2C (PBE-GGA)

Data for a geometry-optimized HfMgMn2C structure.

## Properties
Total magnetic moment, μB per cell: 3.039
ΔH_f (0 K), meV/atom: 22.8

Cell lengths 3.948, 3.948, 4.445 Å; angles 90.00, 90.00, 90.00 degrees
Space group P4/mmm (No. 123)
One atom of each set of equivalent atoms:
Hf1 0.000 0.000 0.000 [1 per cell]
Mg1 0.500 0.500 0.000 [1 per cell]
Mn1 0.000 0.500 0.500 [2 per cell]
C1 0.000 0.000 0.500 [1 per cell]


## HfMg6CO8 (PBE-GGA)

Data for a geometry-optimized HfMg6CO8 structure.

## Properties
Total magnetic moment, μB per cell: 0.289
Formation energy without anion corrections, eV per atom: -2.0463
Offset from the most stable computed form, eV per atom: 0.000

Cell lengths 4.194, 4.194, 9.691 Å; angles 90.00, 90.00, 90.00 degrees
Space group P4/mmm (No. 123)
One atom of each set of equivalent atoms:
Hf1 0.000 0.000 0.000 [1 per cell]
Mg1 0.000 0.500 0.288 [4 per cell]
Mg2 0.500 0.500 0.000 [1 per cell]
Mg3 0.500 0.500 0.500 [1 per cell]
C1 0.000 0.000 0.500 [1 per cell]
O1 0.000 0.000 0.211 [2 per cell]
O2 0.000 0.500 0.000 [2 per cell]
O3 0.000 0.500 0.500 [2 per cell]
O4 0.500 0.500 0.268 [2 per cell]


## HfMg6CO8 (PBE-GGA)

Data for a geometry-optimized HfMg6CO8 structure.

## Properties
Total magnetic moment, μB per cell: 1.874
Formation energy without anion corrections, eV per atom: -2.0436
Offset from the most stable computed form, eV per atom: 0.003

Cell lengths 4.232, 4.232, 9.304 Å; angles 90.00, 90.00, 90.00 degrees
Space group P4/mmm (No. 123)
One atom of each set of equivalent atoms:
Hf1 0.000 0.000 0.000 [1 per cell]
Mg1 0.000 0.000 0.500 [1 per cell]
Mg2 0.000 0.500 0.259 [4 per cell]
Mg3 0.500 0.500 0.500 [1 per cell]
C1 0.500 0.500 0.000 [1 per cell]
O1 0.000 0.000 0.235 [2 per cell]
O2 0.000 0.500 0.000 [2 per cell]
O3 0.000 0.500 0.500 [2 per cell]
O4 0.500 0.500 0.285 [2 per cell]


## HfMgOs2C (PBE-GGA)

Data for a geometry-optimized HfMgOs2C structure.

## Properties
Total magnetic moment, μB per cell: 0.000
ΔH_f (0 K), meV/atom: 34.5

Cell lengths 4.127, 4.127, 4.359 Å; angles 90.00, 90.00, 90.00 degrees
Space group P4/mmm (No. 123)
One atom of each set of equivalent atoms:
Hf1 0.000 0.000 0.000 [1 per cell]
Mg1 0.500 0.500 0.000 [1 per cell]
Os1 0.000 0.500 0.500 [2 per cell]
C1 0.000 0.000 0.500 [1 per cell]


## HfMgPt2C (PBE-GGA)

Data for a geometry-optimized HfMgPt2C structure.

## Properties
Total magnetic moment, μB per cell: 1.583
ΔH_f (0 K), meV/atom: 2042.0

Cell lengths 4.899, 4.899, 5.775 Å; angles 90.00, 90.00, 90.00 degrees
Space group P4/mmm (No. 123)
One atom of each set of equivalent atoms:
Hf1 0.000 0.000 0.000 [1 per cell]
Mg1 0.000 0.000 0.500 [1 per cell]
Pt1 0.000 0.500 0.000 [2 per cell]
C1 0.500 0.500 0.500 [1 per cell]


## Hf2MgSbC (PBE-GGA)

Data for a geometry-optimized Hf2MgSbC structure.

## Properties
Total magnetic moment, μB per cell: 0.000
Formation energy without anion corrections, eV per atom: 0.1008

Cell lengths 4.436, 4.436, 5.054 Å; angles 90.00, 90.00, 90.00 degrees
Space group P4/mmm (No. 123)
One atom of each set of equivalent atoms:
Hf1 0.000 0.500 0.000 [2 per cell]
Mg1 0.000 0.000 0.500 [1 per cell]
Sb1 0.500 0.500 0.500 [1 per cell]
C1 0.500 0.500 0.000 [1 per cell]


## Hf2MgTiC (PBE-GGA)

Data for a geometry-optimized Hf2MgTiC structure.

## Properties
Total magnetic moment, μB per cell: 0.000
ΔH_f (0 K), meV/atom: -319.4

Cell lengths 4.525, 4.525, 4.294 Å; angles 90.00, 90.00, 90.00 degrees
Space group P4/mmm (No. 123)
One atom of each set of equivalent atoms:
Hf1 0.000 0.500 0.000 [2 per cell]
Mg1 0.000 0.000 0.500 [1 per cell]
Ti1 0.500 0.500 0.500 [1 per cell]
C1 0.500 0.500 0.000 [1 per cell]


## Hf2MgVC (PBE-GGA)

Data for a geometry-optimized Hf2MgVC structure.

## Properties
Total magnetic moment, μB per cell: 0.900
ΔH_f (0 K), meV/atom: -228.8

Cell lengths 4.565, 4.565, 4.035 Å; angles 90.00, 90.00, 90.00 degrees
Space group P4/mmm (No. 123)
One atom of each set of equivalent atoms:
Hf1 0.000 0.500 0.000 [2 per cell]
Mg1 0.000 0.000 0.500 [1 per cell]
V1 0.500 0.500 0.500 [1 per cell]
C1 0.500 0.500 0.000 [1 per cell]


## Hf2MgZrC (PBE-GGA)

Data for a geometry-optimized Hf2MgZrC structure.

## Properties
Total magnetic moment, μB per cell: 0.000
ΔH_f (0 K), meV/atom: -327.5

Cell lengths 4.532, 4.532, 4.616 Å; angles 90.00, 90.00, 90.00 degrees
Space group P4/mmm (No. 123)
One atom of each set of equivalent atoms:
Hf1 0.000 0.500 0.000 [2 per cell]
Mg1 0.000 0.000 0.500 [1 per cell]
Zr1 0.500 0.500 0.500 [1 per cell]
C1 0.500 0.500 0.000 [1 per cell]